(1)
Pr5InRu | PBE-GGA | relaxed

* total energy: -5.254 eV/atom

```
Pr5InRu
1.0
6.274 -0.226 -0.030
1.776 6.022 -0.030
2.938 2.115 11.519
Pr In Ru
10 2 2
Cartesian
7.290 3.559 1.437 Pr
3.920 4.444 6.373 Pr
7.157 6.842 7.197 Pr
2.526 6.529 2.850 Pr
6.999 6.661 10.846 Pr
3.989 1.250 0.614 Pr
8.462 1.382 8.609 Pr
3.831 1.068 4.263 Pr
7.068 3.467 5.086 Pr
3.698 4.352 10.022 Pr
4.403 3.921 2.850 In
6.585 3.989 8.609 In
0.000 0.000 0.000 Ru
1.469 1.058 5.759 Ru
```



(2)
Pr3InRu | PBE-GGA | relaxed

* relative energy among the computed polymorphs: 0.163 eV per atom

```
Pr3InRu
1.0
-4.104 3.587 0.557
-3.578 -3.854 -1.541
-0.617 -1.518 5.229
Pr Ru In
3 1 1
Cartesian
-1.789 -1.927 -0.770 Pr
-0.308 -0.759 2.614 Pr
-2.052 1.794 0.279 Pr
0.000 0.000 0.000 Ru
-4.149 -0.892 2.123 In
```



(3)
Pr2InRu | PBE-GGA | relaxed

* relative energy among the computed polymorphs: 0.116 eV per atom

```
Pr2InRu
1.0
3.965 0.000 0.000
0.000 5.089 0.000
0.000 0.000 5.089
Pr Ru In
2 1 1
Cartesian
0.000 0.000 2.544 Pr
0.000 2.544 0.000 Pr
1.983 0.000 0.000 Ru
1.983 2.544 2.544 In
```



We obtain mass density values of 6.9, 6.4, 8.0 g/cm³ for the records listed above, in that order.